A geometry-optimized NaCeTeO5 structure. Source: Alexandria via LeMat-Bulk, functional PBE-GGA.

Cell: 6.327 6.327 8.178 Å, 105.82 105.82 99.79°
Atoms (fractional coordinates):
Na  0.190  0.810  0.750
Na  0.810  0.190  0.250
Ce  0.500  0.500  0.000
Ce  0.500  0.500  0.500
Te  0.153  0.847  0.250
Te  0.847  0.153  0.750
O  0.165  0.206  0.867
O  0.206  0.165  0.367
O  0.229  0.707  0.437
O  0.293  0.771  0.063
O  0.438  0.562  0.750
O  0.562  0.438  0.250
O  0.707  0.229  0.937
O  0.771  0.293  0.563
O  0.794  0.835  0.633
O  0.835  0.794  0.133

Summary:
VASP energy, eV per cell: -101.1
ρ, g/cm3: 4.2
Crystal system: monoclinic

***

A geometry-optimized NaCe2TeO8 structure. Source: Alexandria via LeMat-Bulk, functional PBE-GGA.

Cell: 5.011 7.128 5.011 Å, 90.00 90.49 90.00°
Atoms (fractional coordinates):
Na  0.000  0.000  0.000
Ce  0.500  0.242  0.500
Ce  0.500  0.758  0.500
Te  0.000  0.500  0.000
O  0.185  0.301  0.813
O  0.185  0.699  0.813
O  0.281  0.500  0.279
O  0.321  0.000  0.320
O  0.679  0.000  0.680
O  0.719  0.500  0.721
O  0.815  0.301  0.187
O  0.815  0.699  0.187

Summary:
VASP energy, eV per cell: -81.7
ρ, g/cm3: 5.2
Crystal system: monoclinic

***

A geometry-optimized NaCeTe2O8 structure. Source: Alexandria via LeMat-Bulk, functional PBE-GGA.

Cell: 6.915 6.915 6.915 Å, 134.33 134.33 66.58°
Atoms (fractional coordinates):
Na  0.000  0.000  0.000
Ce  0.250  0.750  0.500
Te  0.500  0.500  0.000
Te  0.750  0.250  0.500
O  0.010  0.087  0.432
O  0.249  0.655  0.081
O  0.345  0.426  0.594
O  0.422  0.990  0.076
O  0.574  0.168  0.919
O  0.654  0.578  0.568
O  0.832  0.751  0.406
O  0.913  0.346  0.924

Summary:
VASP energy, eV per cell: -72.2
ρ, g/cm3: 5.4
Crystal system: tetragonal

***

A geometry-optimized NaCeTeO2 structure. Source: Alexandria via LeMat-Bulk, functional PBE-GGA.

Cell: 7.483 7.483 7.483 Å, 149.25 149.25 44.04°
Atoms (fractional coordinates):
Na  0.000  0.000  0.000
Ce  0.349  0.349  0.000
Te  0.672  0.672  0.000
O  0.408  0.908  0.500
O  0.908  0.408  0.500

Summary:
VASP energy, eV per cell: -30.7
ρ, g/cm3: 4.9
Crystal system: tetragonal

***

> Look up the VASP energy of the third one.

-72.2 eV per cell